This record from Alexandria via LeMat-Bulk describes PaMnP2Rh after structural relaxation. The functional is PBE.

a = 3.952 Å, b = 3.952 Å, c = 5.568 Å
α = 110.79°, β = 110.79°, γ = 90.00°
Fractional positions:
Pa: 0.000 0.000 0.000
Mn: 0.750 0.250 0.500
P: 0.621 0.621 0.242
P: 0.379 0.379 0.758
Rh: 0.250 0.750 0.500

Results
DFT formation energy, kJ/mol of atoms: -87.5
Total moment, μB per atom: 0.000
Calculated total energy, eV per atom: -8.274